A plane-wave DFT calculation with PBE+U was carried out for a geometry-optimized NiGePbO2 structure.

The value obtained for the spin magnetization is 0.312 μB per cell. The total energy comes out at -4.141 eV per atom.

It has space group P4/mmm (No. 123), with a = 4.0209 Å, b = 4.0209 Å, c = 4.6155 Å, α = 90.00°, β = 90.00° and γ = 90.00°. Symmetry generates all atoms from Ni at (0.0000, 0.0000, 0.0000), Ge at (0.0000, 0.0000, 0.5000), Pb at (0.5000, 0.5000, 0.5000) and O at (0.0000, 0.5000, 0.0000).